Computed, not measured: RbSnAu after structural relaxation at the GGA-PBE level of DFT.

a b c (Å): 7.3054 8.7152 7.4823
angles (deg): 91.45 85.38 114.63
With the nearest neighbours (Å) after each atom.
Fractional positions:
Rb: 0.2902 0.2474 0.0763  4 Au 3.33-3.66
Sn: 0.0148 0.5809 0.1768  2 Au 2.74-2.77, 2 Sn 2.95-2.99
Sn: 0.9852 0.4191 0.8232  2 Au 2.74-2.77, 2 Sn 2.95-2.99
Rb: 0.2420 0.8674 0.6253  3 Au 3.49-3.70, 2 Sn 3.77-3.84, 1 Rb 3.86
Rb: 0.7098 0.7526 0.9237  4 Au 3.33-3.66
Au: 0.6483 0.1298 0.9099  2 Au 2.69-2.97, 1 Sn 2.74
Sn: 0.7339 0.6624 0.4338  2 Au 2.74-2.79, 1 Sn 2.99
Au: 0.3610 0.6041 0.3249  3 Sn 2.74-2.79, 1 Au 2.97
Au: 0.6390 0.3959 0.6751  3 Sn 2.74-2.79, 1 Au 2.97
Rb: 0.7580 0.1326 0.3747  3 Au 3.49-3.70, 2 Sn 3.77-3.84, 1 Rb 3.86
Au: 0.3517 0.8702 0.0901  2 Au 2.69-2.97, 1 Sn 2.74
Sn: 0.2661 0.3376 0.5662  2 Au 2.74-2.79, 1 Sn 2.99

Summary:
For the energy, the calculation gives -36.00 eV for the cell shown. The calculation puts the relative energy among the computed polymorphs at 84 meV per atom. The total moment comes out at 0.0 Bohr magnetons per cell. As for the density of states at the Fermi level: 4.504 states/eV per cell. The formation energy is -24 kJ/mol of atoms.

---

Computed, not measured: Rb3Sn9Au2 after structural relaxation at the GGA-PBE level of DFT.

a b c (Å): 4.8640 9.8110 9.8110
angles (deg): 81.31 75.65 75.65
With the nearest neighbours (Å) after each atom.
Fractional positions:
Sn: 0.1528 0.5394 0.1549  4 Sn 2.98-3.30
Sn: 0.8472 0.8451 0.4606  4 Sn 2.98-3.30
Sn: 0.3872 0.9324 0.2933  1 Au 2.96, 4 Sn 2.98-3.30
Rb: 0.0000 0.0000 0.0000  8 Sn 3.71, 2 Rb 3.72
Sn: 0.6128 0.0676 0.7067  1 Au 2.96, 4 Sn 2.98-3.30
Rb: 0.2641 0.7359 0.7359  8 Sn 3.65-3.97, 2 Au 3.68, 1 Rb 3.72
Sn: 0.6128 0.7067 0.0676  1 Au 2.96, 4 Sn 2.98-3.30
Sn: 0.0000 0.5000 0.5000  4 Au 2.90
Sn: 0.3872 0.2933 0.9324  1 Au 2.96, 4 Sn 2.98-3.30
Rb: 0.7359 0.2641 0.2641  8 Sn 3.65-3.97, 2 Au 3.68, 1 Rb 3.72
Sn: 0.8472 0.4606 0.8451  4 Sn 2.98-3.30
Au: 0.5000 0.3761 0.6239  4 Sn 2.90-2.96, 1 Au 3.17
Sn: 0.1528 0.1549 0.5394  4 Sn 2.98-3.30
Au: 0.5000 0.6239 0.3761  4 Sn 2.90-2.96, 1 Au 3.17

Summary:
For the energy, the calculation gives -47.64 eV for the cell shown. The total moment comes out at 0.0 Bohr magnetons per cell. As for the density of states at the Fermi level: 4.197 states/eV per cell. The formation energy is -15 kJ/mol of atoms.

---

Computed, not measured: RbSn3Au6 after structural relaxation at the GGA-PBE level of DFT.

a b c (Å): 9.2312 8.5625 7.8160
angles (deg): 99.48 90.00 90.00
With the nearest neighbours (Å) after each atom.
Fractional positions:
Au: 0.7020 0.5325 0.0431  2 Au 2.71-2.75, 3 Sn 2.77-2.79
Sn: 0.0321 0.2366 0.5608  6 Au 2.66-2.98
Rb: 0.5000 0.5000 0.5000  8 Au 3.74-4.13
Rb: 0.0000 0.0000 0.0000  8 Au 3.74-4.13
Au: 0.2987 0.2047 0.7116  2 Au 2.71-2.75, 3 Sn 2.76-2.88
Au: 0.7986 0.2953 0.7884  2 Au 2.71-2.75, 3 Sn 2.76-2.88
Au: 0.4878 0.9187 0.8164  3 Sn 2.66-2.98
Sn: 0.0000 0.5000 0.0000  6 Au 2.68-2.88
Sn: 0.9679 0.7634 0.4392  6 Au 2.66-2.98
Au: 0.7980 0.0325 0.5431  2 Au 2.71-2.75, 3 Sn 2.77-2.79
Au: 0.2014 0.7047 0.2116  2 Au 2.71-2.75, 3 Sn 2.76-2.88
Au: 0.2020 0.9675 0.4569  2 Au 2.71-2.75, 3 Sn 2.77-2.79
Sn: 0.4679 0.7366 0.0608  6 Au 2.66-2.98
Au: 0.0122 0.4187 0.3164  3 Sn 2.66-2.98
Sn: 0.5000 0.0000 0.5000  6 Au 2.68-2.88
Au: 0.7014 0.7953 0.2884  2 Au 2.71-2.75, 3 Sn 2.76-2.88
Au: 0.5122 0.0813 0.1836  3 Sn 2.66-2.98
Au: 0.9878 0.5813 0.6836  3 Sn 2.66-2.98
Sn: 0.5321 0.2634 0.9392  6 Au 2.66-2.98
Au: 0.2980 0.4675 0.9569  2 Au 2.71-2.75, 3 Sn 2.77-2.79

Summary:
For the energy, the calculation gives -67.77 eV for the cell shown. The total moment comes out at 0.0 Bohr magnetons per cell. As for the density of states at the Fermi level: 6.156 states/eV per cell. The formation energy is -12 kJ/mol of atoms.

---

Computed, not measured: RbSn12Au7 after structural relaxation at the GGA-PBE level of DFT.

a b c (Å): 7.8216 9.1901 9.1689
angles (deg): 60.33 78.95 105.54
With the nearest neighbours (Å) after each atom.
Fractional positions:
Sn: 0.5446 0.6978 0.9553  4 Au 2.83-3.10, 1 Sn 3.14
Sn: 0.5502 0.9647 0.3390  4 Au 2.91-3.08, 1 Sn 3.22
Sn: 0.0298 0.2271 0.2645  4 Au 2.89-3.14, 2 Sn 3.19-3.23
Au: 0.5583 0.6791 0.2700  6 Sn 2.83-3.00, 1 Au 2.99
Au: 0.1673 0.9394 0.3539  6 Sn 2.87-2.95
Sn: 0.1632 0.6585 0.2976  4 Au 2.87-3.00, 1 Sn 3.16
Sn: 0.9702 0.7729 0.7355  4 Au 2.89-3.14, 2 Sn 3.19-3.23
Sn: 0.2541 0.5493 0.7271  3 Au 2.86-3.07
Au: 0.5000 0.0000 0.0000  6 Sn 2.93-3.10, 2 Au 2.99
Rb: 0.0000 0.0000 0.0000  4 Au 3.29-3.58
Au: 0.1591 0.6533 0.9881  7 Sn 2.87-3.14, 1 Au 3.10
Sn: 0.7552 0.6945 0.5018  3 Au 2.89-2.95, 3 Sn 3.16-3.22
Sn: 0.7459 0.4507 0.2729  3 Au 2.86-3.07
Au: 0.8409 0.3467 0.0119  7 Sn 2.87-3.14, 1 Au 3.10
Au: 0.4417 0.3209 0.7300  6 Sn 2.83-3.00, 1 Au 2.99
Sn: 0.2448 0.3055 0.4982  3 Au 2.89-2.95, 3 Sn 3.16-3.22
Au: 0.8327 0.0606 0.6461  6 Sn 2.87-2.95
Sn: 0.8368 0.3415 0.7024  4 Au 2.87-3.00, 1 Sn 3.16
Sn: 0.4498 0.0353 0.6610  4 Au 2.91-3.08, 1 Sn 3.22
Sn: 0.4554 0.3022 0.0447  4 Au 2.83-3.10, 1 Sn 3.14

Summary:
For the energy, the calculation gives -73.93 eV for the cell shown. The total moment comes out at 0.0 Bohr magnetons per cell. As for the density of states at the Fermi level: 8.018 states/eV per cell. The formation energy is -10 kJ/mol of atoms.

---

Computed, not measured: RbSn6Au3 after structural relaxation at the GGA-PBE level of DFT.

a b c (Å): 6.9434 12.3313 11.4033
angles (deg): 144.57 90.00 90.00
With the nearest neighbours (Å) after each atom.
Fractional positions:
Sn: 0.7108 0.6332 0.9381  2 Au 2.99-3.02, 4 Sn 3.08-3.27
Sn: 0.9969 0.5099 0.3709  2 Au 2.75-2.76
Rb: 0.5000 0.5000 0.5000  4 Au 3.45-3.83, 6 Sn 3.75-3.83
Sn: 0.8596 0.1375 0.7162  4 Au 2.80-2.97
Sn: 0.3596 0.3625 0.7838  4 Au 2.80-2.97
Rb: 0.0000 0.0000 0.0000  4 Au 3.45-3.83, 6 Sn 3.75-3.83
Au: 0.7956 0.8295 0.5957  5 Sn 2.75-2.99
Sn: 0.0031 0.4901 0.6291  2 Au 2.75-2.76
Au: 0.7044 0.3295 0.0957  5 Sn 2.75-2.99
Au: 0.2044 0.1705 0.4043  5 Sn 2.75-2.99
Sn: 0.4969 0.9901 0.1291  2 Au 2.75-2.76
Sn: 0.5031 0.0099 0.8709  2 Au 2.75-2.76
Sn: 0.6404 0.6375 0.2162  4 Au 2.80-2.97
Sn: 0.2892 0.3668 0.0619  2 Au 2.99-3.02, 4 Sn 3.08-3.27
Au: 0.2956 0.6705 0.9043  5 Sn 2.75-2.99
Sn: 0.1404 0.8625 0.2838  4 Au 2.80-2.97
Sn: 0.2108 0.8668 0.5619  2 Au 2.99-3.02, 4 Sn 3.08-3.27
Sn: 0.7892 0.1332 0.4381  2 Au 2.99-3.02, 4 Sn 3.08-3.27
Au: 0.5000 0.0000 0.5000  6 Sn 2.80-3.02
Au: 0.0000 0.5000 0.0000  6 Sn 2.80-3.02

Summary:
For the energy, the calculation gives -71.99 eV for the cell shown. The total moment comes out at 0.0 Bohr magnetons per cell. As for the density of states at the Fermi level: 8.105 states/eV per cell. The formation energy is -11 kJ/mol of atoms.

---

Computed, not measured: RbSnAu after structural relaxation at the GGA-PBE level of DFT.

a b c (Å): 5.6998 4.6825 4.6825
angles (deg): 120.00 90.00 90.00
With the nearest neighbours (Å) after each atom.
Fractional positions:
Au: 0.1668 0.0000 0.0000  3 Sn 2.70
Sn: 0.1665 0.3333 0.6667  3 Au 2.70
Rb: 0.6667 0.6667 0.3333  6 Sn 3.93, 6 Au 3.93

Summary:
For the energy, the calculation gives -8.90 eV for the cell shown. The calculation puts the relative energy among the computed polymorphs at 119 meV per atom. The total moment comes out at 0.0 Bohr magnetons per cell. As for the density of states at the Fermi level: 3.130 states/eV per cell. The formation energy is -21 kJ/mol of atoms.

---

Computed, not measured: Rb2Sn3Au after structural relaxation at the GGA-PBE level of DFT.

a b c (Å): 4.7626 5.8228 8.4047
angles (deg): 90.00 90.00 90.00
With the nearest neighbours (Å) after each atom.
Fractional positions:
Sn: 0.0000 0.5000 0.8213  2 Au 2.69, 1 Sn 2.85
Sn: 0.5000 0.5000 0.3490  1 Au 2.72, 2 Sn 2.86
Sn: 0.0000 0.5000 0.1602  3 Sn 2.85-2.86
Au: 0.5000 0.5000 0.6729  3 Sn 2.69-2.72
Rb: 0.5000 0.0000 0.9889  2 Au 3.94, 10 Sn 4.02-4.20
Rb: 0.0000 0.0000 0.5078  8 Sn 3.93-4.12, 4 Au 4.01

Summary:
For the energy, the calculation gives -18.66 eV for the cell shown. The total moment comes out at 0.0 Bohr magnetons per cell. As for the density of states at the Fermi level: 3.086 states/eV per cell. The formation energy is -23 kJ/mol of atoms.

---

Computed, not measured: RbSnAu3 after structural relaxation at the GGA-PBE level of DFT.

a b c (Å): 5.3628 7.0008 8.2343
angles (deg): 67.57 87.78 94.20
With the nearest neighbours (Å) after each atom.
Fractional positions:
Au: 0.8745 0.5479 0.9743  2 Au 2.71-2.93, 2 Sn 2.82-2.96
Rb: 0.3519 0.4921 0.6958  9 Au 3.51-3.89
Au: 0.8515 0.1411 0.0236  2 Au 2.71-2.93, 2 Sn 2.86-2.97
Au: 0.4527 0.8199 0.2263  2 Sn 2.72-2.82, 3 Au 2.88-2.93
Sn: 0.7425 0.9510 0.7799  6 Au 2.75-2.86
Sn: 0.9506 0.7129 0.2522  6 Au 2.71-2.97
Rb: 0.3485 0.2874 0.2450  10 Au 3.38-3.67
Au: 0.2425 0.9091 0.8888  3 Sn 2.75-3.08, 2 Au 2.90-2.93
Au: 0.7897 0.9405 0.4414  2 Sn 2.77-2.82, 2 Au 2.82-2.88
Au: 0.8436 0.3184 0.4890  2 Sn 2.71-2.76, 1 Au 2.82

Summary:
For the energy, the calculation gives -31.59 eV for the cell shown. The calculation puts the relative energy among the computed polymorphs at 0 meV per atom. The total moment comes out at 0.0 Bohr magnetons per cell. As for the density of states at the Fermi level: 3.260 states/eV per cell. The formation energy is -19 kJ/mol of atoms.

---

Computed, not measured: RbSnAu4 after structural relaxation at the GGA-PBE level of DFT.

a b c (Å): 6.3449 6.3449 8.7929
angles (deg): 72.25 72.25 63.24
With the nearest neighbours (Å) after each atom.
Fractional positions:
Au: 0.6713 0.1076 0.4483  1 Sn 2.74, 4 Au 2.84-2.90
Au: 0.1076 0.6713 0.4483  1 Sn 2.74, 4 Au 2.84-2.90
Au: 0.8924 0.3287 0.5517  1 Sn 2.74, 4 Au 2.84-2.90
Au: 0.2153 0.7847 0.0000  3 Au 2.87-2.97, 2 Sn 2.88
Rb: 0.2059 0.2059 0.1775  11 Au 3.40-3.69, 4 Sn 3.68-3.76
Rb: 0.7941 0.7941 0.8225  11 Au 3.40-3.69, 4 Sn 3.68-3.76
Au: 0.2210 0.2210 0.7511  1 Sn 2.72, 4 Au 2.85-2.97
Au: 0.7847 0.2153 0.0000  3 Au 2.87-2.97, 2 Sn 2.88
Sn: 0.4668 0.4668 0.7706  5 Au 2.72-2.88
Au: 0.3287 0.8924 0.5517  1 Sn 2.74, 4 Au 2.84-2.90
Au: 0.7790 0.7790 0.2489  1 Sn 2.72, 4 Au 2.85-2.97
Sn: 0.5332 0.5332 0.2294  5 Au 2.72-2.88

Summary:
For the energy, the calculation gives -37.65 eV for the cell shown. The calculation puts the relative energy among the computed polymorphs at 60 meV per atom. The total moment comes out at 0.0 Bohr magnetons per cell. As for the density of states at the Fermi level: 4.159 states/eV per cell. The formation energy is -12 kJ/mol of atoms.

---

Computed, not measured: RbSn4Au2 after structural relaxation at the GGA-PBE level of DFT.

a b c (Å): 4.5523 9.2319 9.2319
angles (deg): 90.00 90.00 90.00
With the nearest neighbours (Å) after each atom.
Fractional positions:
Au: 0.5000 0.2816 0.2816  6 Sn 2.90-3.01
Au: 0.5000 0.7184 0.7184  6 Sn 2.90-3.01
Au: 0.0000 0.7816 0.2184  6 Sn 2.90-3.01
Sn: 0.0000 0.9254 0.6670  3 Au 2.90-3.01
Sn: 0.0000 0.6670 0.9254  3 Au 2.90-3.01
Sn: 0.5000 0.4254 0.8330  3 Au 2.90-3.01
Sn: 0.5000 0.8330 0.4254  3 Au 2.90-3.01
Au: 0.0000 0.2184 0.7816  6 Sn 2.90-3.01
Rb: 0.0000 0.5000 0.5000  6 Au 3.65-3.68, 8 Sn 3.89
Sn: 0.5000 0.1670 0.5746  3 Au 2.90-3.01
Sn: 0.0000 0.3330 0.0746  3 Au 2.90-3.01
Sn: 0.5000 0.5746 0.1670  3 Au 2.90-3.01
Rb: 0.5000 0.0000 0.0000  6 Au 3.65-3.68, 8 Sn 3.89
Sn: 0.0000 0.0746 0.3330  3 Au 2.90-3.01

Summary:
For the energy, the calculation gives -49.64 eV for the cell shown. The calculation puts the relative energy among the computed polymorphs at 9 meV per atom. The total moment comes out at 0.0 Bohr magnetons per cell. As for the density of states at the Fermi level: 7.668 states/eV per cell. The formation energy is -18 kJ/mol of atoms.

---

Computed, not measured: Rb2Sn2Au5 after structural relaxation at the GGA-PBE level of DFT.

a b c (Å): 4.5844 8.1733 9.0723
angles (deg): 87.32 90.00 106.29
With the nearest neighbours (Å) after each atom.
Fractional positions:
Sn: 0.8513 0.7026 0.1610  4 Au 2.66-2.71
Au: 0.9370 0.8739 0.4070  1 Sn 2.66, 1 Au 2.66
Au: 0.2757 0.5515 0.0778  3 Sn 2.71-3.01, 2 Au 2.83
Au: 0.7243 0.4485 0.9222  3 Sn 2.71-3.01, 2 Au 2.83
Au: 0.0000 0.0000 0.0000  2 Sn 2.69
Sn: 0.1487 0.2974 0.8390  4 Au 2.66-2.71
Rb: 0.4066 0.8132 0.7300  7 Au 3.54-3.73
Rb: 0.5934 0.1868 0.2700  7 Au 3.54-3.73
Au: 0.0630 0.1261 0.5930  1 Sn 2.66, 1 Au 2.66

Summary:
For the energy, the calculation gives -28.02 eV for the cell shown. The total moment comes out at 0.0 Bohr magnetons per cell. As for the density of states at the Fermi level: 3.558 states/eV per cell. The formation energy is -18 kJ/mol of atoms.

---

Computed, not measured: Rb3SnAu4 after structural relaxation at the GGA-PBE level of DFT.

a b c (Å): 7.1822 7.1822 7.1822
angles (deg): 104.11 102.30 122.90
With the nearest neighbours (Å) after each atom.
Fractional positions:
Rb: 0.5827 0.7329 0.3156  7 Au 3.48-3.64, 1 Rb 3.81
Au: 0.1250 0.7981 0.3269  1 Sn 2.70, 3 Au 2.77-2.86
Au: 0.1969 0.2496 0.4466  1 Sn 2.71, 2 Au 2.86
Au: 0.5288 0.2019 0.3269  1 Sn 2.70, 3 Au 2.77-2.86
Sn: 0.0225 0.5000 0.5225  4 Au 2.70-2.71
Au: 0.1969 0.7504 0.9473  1 Sn 2.71, 2 Au 2.86
Rb: 0.9154 0.0000 0.9154  2 Au 3.36
Rb: 0.5827 0.2671 0.8498  7 Au 3.48-3.64, 1 Rb 3.81

Summary:
For the energy, the calculation gives -22.32 eV for the cell shown. The total moment comes out at 0.0 Bohr magnetons per cell. As for the density of states at the Fermi level: 3.379 states/eV per cell. The formation energy is -28 kJ/mol of atoms.

---

Which value of total moment does entry 5 give? 0.0 Bohr magnetons per cell